The following is a DFT calculation (GGA-PBE) of a geometry-optimized NaHoPdAu structure.

Results
energy of formation	-0.56	eV per atom
N(E_F)	2.1	states/eV per cell
symmetry	No. 216

Cell: 4.907 4.907 4.907 Å, 60.00 60.00 60.00°
Element x y z (fractional)
Au1 0.500 0.500 0.500
Pd1 0.000 0.000 0.000
Ho1 0.250 0.250 0.250
Na1 0.750 0.750 0.750

The following is a DFT calculation (GGA-PBE) of a geometry-optimized NaHoPtAu structure.

Results
energy of formation	-0.68	eV per atom
N(E_F)	2.4	states/eV per cell
symmetry	No. 216

Cell: 4.886 4.886 4.886 Å, 60.00 60.00 60.00°
Element x y z (fractional)
Pt1 0.750 0.750 0.750
Na1 0.500 0.500 0.500
Ho1 0.000 0.000 0.000
Au1 0.250 0.250 0.250

The following is a DFT calculation (GGA-PBE) of a geometry-optimized NaHoSbAu structure.

Results
uncorrected formation energy	-254	kJ/mol of formula units
N(E_F)	0.7	states/eV per cell
symmetry	No. 216

Cell: 5.164 5.164 5.164 Å, 60.00 60.00 60.00°
Element x y z (fractional)
Au1 0.000 0.000 0.000
Sb1 0.500 0.500 0.500
Ho1 0.750 0.750 0.750
Na1 0.250 0.250 0.250

The following is a DFT calculation (GGA-PBE) of a geometry-optimized Na2HoSi3Au12 structure.

Results
uncorrected formation energy	-145	kJ/mol of formula units
N(E_F)	4.7	states/eV per cell
symmetry	No. 166

Cell: 7.572 7.572 7.572 Å, 73.34 73.34 73.34°
Element x y z (fractional)
Au1 0.303 0.303 0.857
Au2 0.697 0.143 0.697
Au3 0.303 0.857 0.303
Au4 0.697 0.697 0.143
Au5 0.834 0.391 0.834
Au6 0.166 0.166 0.609
Au7 0.166 0.609 0.166
Au8 0.609 0.166 0.166
Au9 0.143 0.697 0.697
Au10 0.834 0.834 0.391
Au11 0.857 0.303 0.303
Au12 0.391 0.834 0.834
Na1 0.584 0.584 0.584
Na2 0.416 0.416 0.416
Si1 0.500 0.000 0.000
Si2 0.000 0.500 0.000
Si3 0.000 0.000 0.500
Ho1 0.000 0.000 0.000